Record 1
Material: Er2PuMnN4
Method: DFT, PBE-GGA
State: optimized geometry

Results
Raw total energy = -0.34529 hartree per atom
Density of states at the Fermi level = 27.47 states/eV per cell
Spin magnetization = 4.29 μB/f.u.

Cell: 3.3298 11.2668 11.4552 Å, 90.00 90.00 90.00°
With the nearest neighbours (Å) after each atom.
Space group Cmcm (No. 63)
Symmetry-distinct sites (fractional):
1 Er 0.0000 0.1315 0.0448 (multiplicity 8)  6 N 2.29-2.47
2 Pu 0.0000 0.3950 0.2500 (multiplicity 4)  6 N 2.59-2.62
3 Mn 0.0000 0.3411 0.7500 (multiplicity 4)  4 N 1.84-1.92
4 N 0.0000 0.0749 0.2500 (multiplicity 4)  2 Mn 1.92
5 N 0.0000 0.2321 0.6301 (multiplicity 8)  1 Mn 1.84
6 N 0.0000 0.5000 0.0000 (multiplicity 4)  4 Er 2.29



Record 2
Material: Er2MnReN5
Method: DFT, PBE-GGA
State: optimized geometry

Results
Raw total energy = -0.32375 hartree per atom
Density of states at the Fermi level = 8.82 states/eV per cell
Spin magnetization = 2.56 μB/f.u.

Cell: 3.2022 14.1164 9.2626 Å, 90.00 90.00 90.00°
With the nearest neighbours (Å) after each atom.
Space group Cmc2_1 (No. 36)
Symmetry-distinct sites (fractional):
1 Er 0.0000 0.1202 0.0000 (multiplicity 4)  8 N 2.41-2.63
2 Er 0.0000 0.1335 0.3721 (multiplicity 4)  8 N 2.34-2.56
3 Mn 0.0000 0.2198 0.6903 (multiplicity 4)  3 N 1.86-2.04
4 Re 0.0000 0.4277 0.1735 (multiplicity 4)  4 N 1.85-2.07
5 N 0.0000 0.0236 0.7618 (multiplicity 4)  2 Re 1.92
6 N 0.0000 0.3025 0.0577 (multiplicity 4)  2 Mn 2.04, 1 Re 2.07
7 N 0.0000 0.3087 0.3302 (multiplicity 4)  2 Mn 2.10, 1 Re 2.22
8 N 0.0000 0.3518 0.6891 (multiplicity 4)  1 Mn 1.86
9 N 0.0000 0.4834 0.9930 (multiplicity 4)  1 Re 1.85



Record 3
Material: ErMn2SiN
Method: DFT, PBE-GGA
State: optimized geometry

Results
Raw total energy = -0.29996 hartree per atom
Density of states at the Fermi level = 12.07 states/eV per cell
Spin magnetization = 2.34 μB/f.u.

Cell: 3.5615 10.6043 6.9758 Å, 90.00 90.00 90.00°
With the nearest neighbours (Å) after each atom.
Space group Cmcm (No. 63)
Symmetry-distinct sites (fractional):
1 Er 0.0000 0.0426 0.2500 (multiplicity 4)  4 N 2.53
2 Mn 0.0000 0.3336 0.0557 (multiplicity 8)  1 N 1.81
3 Si 0.0000 0.2342 0.7500 (multiplicity 4)  6 Mn 2.35-2.38
4 N 0.0000 0.5000 0.0000 (multiplicity 4)  2 Mn 1.81



Record 4
Material: SmEr2MnN4
Method: DFT, PBE-GGA
State: optimized geometry

Results
Raw total energy = -0.30388 hartree per atom
Density of states at the Fermi level = 11.74 states/eV per cell
Spin magnetization = 0.00 μB/f.u.

Cell: 3.3686 11.3565 11.3949 Å, 90.00 90.00 90.00°
With the nearest neighbours (Å) after each atom.
Space group Cmcm (No. 63)
Symmetry-distinct sites (fractional):
1 Sm 0.0000 0.1115 0.2500 (multiplicity 4)  6 N 2.58-2.73
2 Er 0.0000 0.3683 0.0436 (multiplicity 8)  6 N 2.29-2.47
3 Mn 0.0000 0.1552 0.7500 (multiplicity 4)  4 N 1.86-1.90
4 N 0.0000 0.0000 0.0000 (multiplicity 4)  4 Er 2.31
5 N 0.0000 0.2656 0.6298 (multiplicity 8)  1 Mn 1.86
6 N 0.0000 0.4227 0.2500 (multiplicity 4)  2 Mn 1.90



Record 5
Material: ErTh2MnN5
Method: DFT, PBE-GGA
State: optimized geometry

Results
Raw total energy = -0.32191 hartree per atom
Density of states at the Fermi level = 10.52 states/eV per cell
Spin magnetization = 0.99 μB/f.u.

Cell: 6.7036 6.7036 5.6963 Å, 90.00 90.00 90.00°
With the nearest neighbours (Å) after each atom.
Space group P4/mbm (No. 127)
Symmetry-distinct sites (fractional):
1 Er 0.0000 0.0000 0.0000 (multiplicity 2)  10 N 2.85-2.88
2 Th 0.1703 0.3297 0.5000 (multiplicity 4)  8 N 2.37-2.62
3 Mn 0.0000 0.5000 0.0000 (multiplicity 2)  4 N 1.86
4 N 0.0000 0.0000 0.5000 (multiplicity 2)  4 Th 2.49
5 N 0.1420 0.6420 0.2252 (multiplicity 8)  1 Mn 1.86



Record 6
Material: YEr2MnN4
Method: DFT, PBE-GGA
State: optimized geometry

Results
Raw total energy = -0.31167 hartree per atom
Density of states at the Fermi level = 10.60 states/eV per cell
Spin magnetization = 0.00 μB/f.u.

Cell: 3.3395 11.2669 11.3906 Å, 90.00 90.00 90.00°
With the nearest neighbours (Å) after each atom.
Space group Cmcm (No. 63)
Symmetry-distinct sites (fractional):
1 Y 0.0000 0.1180 0.2500 (multiplicity 4)  6 N 2.51-2.71
2 Er 0.0000 0.3681 0.0434 (multiplicity 8)  6 N 2.29-2.47
3 Mn 0.0000 0.1503 0.7500 (multiplicity 4)  4 N 1.88-1.89
4 N 0.0000 0.0000 0.0000 (multiplicity 4)  4 Er 2.29
5 N 0.0000 0.2663 0.6316 (multiplicity 8)  1 Mn 1.88
6 N 0.0000 0.4281 0.2500 (multiplicity 4)  2 Mn 1.89